A relaxed structure of MnGe2SF, computed with PBEsol.

```
data_MnGe2SF
_chemical_formula_sum 'Mn1 Ge2 S1 F1'
_space_group_name_H-M_alt 'P 4/m m m'
_space_group_IT_number 123
_space_group_name_Hall '-P 4 2'
_cell_length_a 4.8063
_cell_length_b 4.8063
_cell_length_c 3.8360
_cell_angle_alpha 90.00
_cell_angle_beta 90.00
_cell_angle_gamma 90.00
loop_
_atom_site_label
_atom_site_type_symbol
_atom_site_fract_x
_atom_site_fract_y
_atom_site_fract_z
_atom_site_occupancy
Mn1 Mn 0.0000 0.0000 0.0000 1
Ge1 Ge 0.0000 0.5000 0.5000 1
S1 S 0.5000 0.5000 0.0000 1
F1 F 0.0000 0.0000 0.5000 1
```



A relaxed structure of GeMoF3, computed with PBEsol.

```
data_GeMoF3
_chemical_formula_sum 'Ge1 Mo1 F3'
_space_group_name_H-M_alt 'P m -3 m'
_space_group_IT_number 221
_space_group_name_Hall '-P 4 2 3'
_cell_length_a 4.3107
_cell_length_b 4.3107
_cell_length_c 4.3107
_cell_angle_alpha 90.00
_cell_angle_beta 90.00
_cell_angle_gamma 90.00
loop_
_atom_site_label
_atom_site_type_symbol
_atom_site_fract_x
_atom_site_fract_y
_atom_site_fract_z
_atom_site_occupancy
Ge1 Ge 0.0000 0.0000 0.0000 1
Mo1 Mo 0.5000 0.5000 0.5000 1
F1 F 0.0000 0.0000 0.5000 1
```



A relaxed structure of GeMoF3, computed with PBEsol.

```
data_GeMoF3
_chemical_formula_sum 'Ge1 Mo1 F3'
_space_group_name_H-M_alt 'P m -3 m'
_space_group_IT_number 221
_space_group_name_Hall '-P 4 2 3'
_cell_length_a 4.1827
_cell_length_b 4.1827
_cell_length_c 4.1827
_cell_angle_alpha 90.00
_cell_angle_beta 90.00
_cell_angle_gamma 90.00
loop_
_atom_site_label
_atom_site_type_symbol
_atom_site_fract_x
_atom_site_fract_y
_atom_site_fract_z
_atom_site_occupancy
Ge1 Ge 0.0000 0.0000 0.0000 1
Mo1 Mo 0.5000 0.5000 0.5000 1
F1 F 0.0000 0.5000 0.5000 1
```



Number 1: formation energy without anion corrections 0.164 eV per atom, magnetic moment 0.720 μB/atom. Number 2: formation energy without anion corrections -0.677 eV per atom, magnetic moment 1.006 μB/atom. Number 3: formation energy without anion corrections -0.954 eV per atom, magnetic moment 0.555 μB/atom.